The following is a DFT calculation (PBE) of a relaxed structure of ReSiSe2.

Computed properties:
- M_tot: 0.0 μB per cell
- ρ: 9.54 g/cm3
- V: 64.8 Å³/cell
- E_form (uncorrected): 0.740 eV per atom

```
data_ReSiSe2
_cell_length_a 4.748
_cell_length_b 4.748
_cell_length_c 4.748
_cell_angle_alpha 127.84
_cell_angle_beta 127.84
_cell_angle_gamma 76.88
_space_group_name_H-M_alt 'P 1'
_space_group_IT_number 1
loop_
_space_group_symop_operation_xyz
'x,y,z'
loop_
_atom_site_label
_atom_site_type_symbol
_atom_site_fract_x
_atom_site_fract_y
_atom_site_fract_z
_atom_site_occupancy
Se1 Se 0.000 0.000 0.000 1
Re1 Re 0.750 0.250 0.500 1
Se2 Se 0.250 0.750 0.500 1
Si1 Si 0.500 0.500 0.000 1
```